A geometry-optimized Nd2HoUN4 structure, computed with GGA-PBE.

Values from the calculation:
VASP energy = -70.7 eV per cell
V = 124 Å³ per cell
Formation energy (no corrections) = -1505 meV/atom

Cell and atoms, written as POSCAR:
```
Nd2HoUN4
1.0
-1.282 3.294 0.055
-1.848 -0.815 5.685
5.742 2.234 0.067
U N Ho Nd
1 4 1 2
direct
0.000 0.000 0.000
0.000 0.762 0.215
0.500 0.225 0.212
0.000 0.238 0.785
0.500 0.775 0.788
0.500 0.500 0.000
0.500 0.000 0.500
0.000 0.500 0.500
```